Computed, not measured: an optimized crystal structure of RuAu2 at the PBE level of DFT.

Cell: 2.8537 2.8537 7.0999 Å, 90.00 90.00 120.00°
Space group P-3m1 (No. 164)
Symmetry-distinct sites (fractional):
Ru: 0.0000 0.0000 0.0000
Au: 0.3333 0.6667 0.6749

Properties
* ΔE to the lowest computed polymorph: 23.9 meV/atom
* DFT formation energy: 0.336 eV/atom

***

Computed, not measured: an optimized crystal structure of Ru2Au at the PBE level of DFT.

Cell: 2.7713 2.7713 6.9305 Å, 90.00 90.00 120.00°
Space group P-3m1 (No. 164)
Symmetry-distinct sites (fractional):
Ru: 0.3333 0.6667 0.1453
Au: 0.0000 0.0000 0.5000

Properties
* ΔE to the lowest computed polymorph: 0.4 meV/atom
* DFT formation energy: 0.227 eV/atom

***

Computed, not measured: an optimized crystal structure of Ru4Au3 at the PBE level of DFT.

Cell: 3.311 3.311 20.474 Å, 90.00 90.00 90.00°
Space group I4/mmm (No. 139)
Symmetry-distinct sites (fractional):
Ru: 0.000 0.000 0.076
Ru: 0.000 0.000 0.367
Au: 0.000 0.000 0.211
Au: 0.000 0.000 0.500

Properties
* DFT formation energy: 0.436 eV/atom

***

Computed, not measured: an optimized crystal structure of Ru2Au at the PBE level of DFT.

Cell: 2.766 14.960 4.457 Å, 90.00 90.00 90.00°
Space group Cmcm (No. 63)
Symmetry-distinct sites (fractional):
Ru: 0.000 0.047 0.250
Ru: 0.000 0.401 0.250
Au: 0.000 0.286 0.750

Properties
* ΔE to the lowest computed polymorph: 1.8 meV/atom
* DFT formation energy: 0.228 eV/atom

***

Computed, not measured: an optimized crystal structure of RuAu at the PBE level of DFT.

Cell: 5.345 5.345 5.345 Å, 90.00 90.00 90.00°
Space group Fm-3m (No. 225)
Symmetry-distinct sites (fractional):
Ru: 0.000 0.000 0.000
Au: 0.000 0.000 0.500

Properties
* ΔE to the lowest computed polymorph: 1013.3 meV/atom
* DFT formation energy: 1.191 eV/atom

***

Computed, not measured: an optimized crystal structure of RuAu at the PBE level of DFT.

Cell: 2.8125 2.8125 9.2915 Å, 90.00 90.00 120.00°
Space group P6_3/mmc (No. 194)
Symmetry-distinct sites (fractional):
Ru: 0.3333 0.6667 0.2500
Au: 0.0000 0.0000 0.0000

Properties
* ΔE to the lowest computed polymorph: 314.7 meV/atom
* DFT formation energy: 0.493 eV/atom

***

Computed, not measured: an optimized crystal structure of RuAu at the PBE level of DFT.

Cell: 10.563 2.825 6.707 Å, 90.00 105.22 90.00°
Space group Cm (No. 8)
Symmetry-distinct sites (fractional):
Ru: 0.000 0.000 0.000
Ru: 0.051 0.000 0.643
Ru: 0.193 0.500 0.940
Au: 0.152 0.500 0.344
Au: 0.326 0.000 0.686
Au: 0.379 0.000 0.272

Properties
* ΔE to the lowest computed polymorph: 180.6 meV/atom
* DFT formation energy: 0.359 eV/atom

***

Computed, not measured: an optimized crystal structure of RuAu at the PBE level of DFT.

Cell: 2.803 11.880 6.193 Å, 90.00 90.00 90.00°
Space group Imm2 (No. 44)
Symmetry-distinct sites (fractional):
Ru: 0.000 0.000 0.000
Ru: 0.000 0.384 0.248
Au: 0.000 0.000 0.429
Au: 0.000 0.314 0.717

Properties
* ΔE to the lowest computed polymorph: 317.4 meV/atom
* DFT formation energy: 0.495 eV/atom

***

Computed, not measured: an optimized crystal structure of Ru2Au at the PBE level of DFT.

Cell: 4.600 4.600 2.679 Å, 90.00 90.00 90.00°
Space group P4/mmm (No. 123)
Symmetry-distinct sites (fractional):
Ru: 0.000 0.500 0.000
Au: 0.000 0.000 0.500

Properties
* ΔE to the lowest computed polymorph: 1144.3 meV/atom
* DFT formation energy: 1.371 eV/atom

***

Computed, not measured: an optimized crystal structure of RuAu2 at the PBE level of DFT.

Cell: 2.805 15.043 4.804 Å, 90.00 90.00 90.00°
Space group Cmcm (No. 63)
Symmetry-distinct sites (fractional):
Ru: 0.000 0.112 0.250
Au: 0.000 0.222 0.750
Au: 0.000 0.447 0.250

Properties
* ΔE to the lowest computed polymorph: 129.5 meV/atom
* DFT formation energy: 0.441 eV/atom

***

Computed, not measured: an optimized crystal structure of RuAu2 at the PBE level of DFT.

Cell: 10.770 2.840 6.907 Å, 90.00 106.51 90.00°
Space group Cm (No. 8)
Symmetry-distinct sites (fractional):
Ru: 0.000 0.000 0.000
Ru: 0.143 0.500 0.287
Au: 0.096 0.500 0.717
Au: 0.277 0.000 0.046
Au: 0.314 0.000 0.643
Au: 0.438 0.500 0.380

Properties
* ΔE to the lowest computed polymorph: 45.1 meV/atom
* DFT formation energy: 0.357 eV/atom

***

Computed, not measured: an optimized crystal structure of RuAu2 at the PBE level of DFT.

Cell: 6.635 6.635 4.829 Å, 90.00 90.00 90.00°
Space group I4/mcm (No. 140)
Symmetry-distinct sites (fractional):
Ru: 0.000 0.000 0.250
Au: 0.153 0.347 0.000

Properties
* ΔE to the lowest computed polymorph: 156.7 meV/atom
* DFT formation energy: 0.469 eV/atom

***

Computed, not measured: an optimized crystal structure of RuAu at the PBE level of DFT.

Cell: 2.787 4.534 5.033 Å, 90.00 90.00 90.00°
Space group Pmmn (No. 59, origin choice 2)
Symmetry-distinct sites (fractional):
Ru: 0.250 0.250 0.075
Au: 0.250 0.750 0.407

Properties
* ΔE to the lowest computed polymorph: 240.5 meV/atom
* DFT formation energy: 0.418 eV/atom

***

Computed, not measured: an optimized crystal structure of RuAu at the PBE level of DFT.

Cell: 2.8029 2.8029 4.7377 Å, 90.00 90.00 120.00°
Space group P-6m2 (No. 187)
Symmetry-distinct sites (fractional):
Ru: 0.0000 0.0000 0.0000
Au: 0.6667 0.3333 0.5000

Properties
* ΔE to the lowest computed polymorph: 329.5 meV/atom
* DFT formation energy: 0.507 eV/atom